Computed, not measured: a PBEsol-optimized structure of K2PIr at the SCAN level of DFT.

## Properties
ΔE_f (meV/atom): 510.0
Space group: I4/mmm
M_tot (μB per cell): 0.00

Cell lengths 5.8208, 5.8208, 5.8208 Å; angles 141.34, 141.34, 55.83 degrees
Element x y z (fractional)
1 K 0.2500 0.7500 0.5000
2 K 0.7500 0.2500 0.5000
3 P 0.0000 0.0000 0.0000
4 Ir 0.5000 0.5000 0.0000

=====

Computed, not measured: a PBEsol-optimized structure of K2PIr at the SCAN level of DFT.

## Properties
ΔE_f (meV/atom): -53.5
Space group: P4mm
M_tot (μB per cell): 0.00

Cell lengths 3.2330, 3.2330, 9.8895 Å; angles 90.00, 90.00, 90.00 degrees
Element x y z (fractional)
1 K 0.0000 0.0000 0.0000
2 K 0.5000 0.5000 0.4255
3 P 0.0000 0.0000 0.6660
4 Ir 0.5000 0.5000 0.7488

=====

Computed, not measured: a PBEsol-optimized structure of KP2Ir at the SCAN level of DFT.

## Properties
ΔE_f (meV/atom): -483.9
Space group: R-3m
M_tot (μB per cell): 0.00

Cell lengths 6.3175, 6.3175, 6.3175 Å; angles 36.76, 36.76, 36.76 degrees
Element x y z (fractional)
1 K 0.0000 0.0000 0.0000
2 P 0.2058 0.2058 0.2058
3 P 0.7942 0.7942 0.7942
4 Ir 0.5000 0.5000 0.5000

=====

Computed, not measured: a PBEsol-optimized structure of K2PIr at the SCAN level of DFT.

## Properties
ΔE_f (meV/atom): 415.5
Space group: Cmmm
M_tot (μB per cell): 0.00

Cell lengths 5.0215, 5.0215, 4.4068 Å; angles 90.00, 90.00, 122.49 degrees
Element x y z (fractional)
1 K 0.0000 0.5000 0.0000
2 K 0.5000 0.0000 0.0000
3 P 0.0000 0.0000 0.5000
4 Ir 0.5000 0.5000 0.5000

=====

Computed, not measured: a PBEsol-optimized structure of K2PIr at the SCAN level of DFT.

## Properties
ΔE_f (meV/atom): -307.3
Space group: Imm2
M_tot (μB per cell): 0.00

Cell lengths 5.9558, 5.9558, 5.9558 Å; angles 137.33, 122.64, 74.06 degrees
Element x y z (fractional)
1 K 0.0000 0.0000 0.0000
2 K 0.6812 0.1812 0.5000
3 P 0.3341 0.8341 0.5000
4 Ir 0.3479 0.3479 0.0000

=====

Computed, not measured: a PBEsol-optimized structure of K2PIr at the SCAN level of DFT.

## Properties
ΔE_f (meV/atom): 626.9
Space group: R-3m
M_tot (μB per cell): 0.00

Cell lengths 10.8889, 10.8889, 10.8889 Å; angles 15.20, 15.20, 15.20 degrees
Element x y z (fractional)
1 K 0.2492 0.2492 0.2492
2 K 0.7508 0.7508 0.7508
3 P 0.5000 0.5000 0.5000
4 Ir 0.0000 0.0000 0.0000

=====

Computed, not measured: a PBEsol-optimized structure of K2IrPb at the SCAN level of DFT.

## Properties
ΔE_f (meV/atom): 538.6
Space group: P4/mmm
M_tot (μB per cell): 0.75

Cell lengths 3.0486, 3.0486, 10.9904 Å; angles 90.00, 90.00, 90.00 degrees
Element x y z (fractional)
1 K 0.0000 0.0000 0.2170
2 K 0.0000 0.0000 0.7830
3 Ir 0.5000 0.5000 0.0000
4 Pb 0.5000 0.5000 0.5000

=====

Computed, not measured: a PBEsol-optimized structure of K2IrPb at the SCAN level of DFT.

## Properties
ΔE_f (meV/atom): 240.8
Space group: Imm2
M_tot (μB per cell): 0.00

Cell lengths 6.4256, 6.4256, 6.4256 Å; angles 143.18, 127.14, 66.15 degrees
Element x y z (fractional)
1 K 0.0000 0.0000 0.0000
2 K 0.6959 0.1959 0.5000
3 Ir 0.4368 0.4368 0.0000
4 Pb 0.2874 0.7874 0.5000

=====

Computed, not measured: a PBEsol-optimized structure of KIrPb2 at the SCAN level of DFT.

## Properties
ΔE_f (meV/atom): 94.5
Space group: Pmmm
M_tot (μB per cell): 0.00

Cell lengths 3.2473, 3.5867, 8.5873 Å; angles 90.00, 90.00, 90.00 degrees
Element x y z (fractional)
1 K 0.0000 0.0000 0.0000
2 Ir 0.0000 0.0000 0.5000
3 Pb 0.5000 0.5000 0.3120
4 Pb 0.5000 0.5000 0.6880

=====

Computed, not measured: a PBEsol-optimized structure of KIrPb2 at the SCAN level of DFT.

## Properties
ΔE_f (meV/atom): 159.1
Space group: Immm
M_tot (μB per cell): 0.00

Cell lengths 6.5399, 6.5399, 6.5399 Å; angles 151.57, 125.83, 62.30 degrees
Element x y z (fractional)
1 K 0.0000 0.0000 0.0000
2 Ir 0.5000 0.5000 0.0000
3 Pb 0.3026 0.8026 0.5000
4 Pb 0.6974 0.1974 0.5000

=====

Computed, not measured: a PBEsol-optimized structure of KSrIrPb2 at the SCAN level of DFT.

## Properties
ΔE_f (meV/atom): 1631.6
Space group: P4/mmm
M_tot (μB per cell): 1.57

Cell lengths 5.5019, 5.5019, 5.5064 Å; angles 90.00, 90.00, 90.00 degrees
Element x y z (fractional)
1 K 0.0000 0.0000 0.0000
2 Sr 0.0000 0.0000 0.5000
3 Ir 0.5000 0.5000 0.5000
4 Pb 0.0000 0.5000 0.0000
5 Pb 0.5000 0.0000 0.0000

=====

Computed, not measured: a PBEsol-optimized structure of KIrPt at the SCAN level of DFT.

## Properties
ΔE_f (meV/atom): 1217.2
Space group: F-43m
M_tot (μB per cell): 2.12

Cell lengths 4.5120, 4.5120, 4.5120 Å; angles 60.00, 60.00, 60.00 degrees
Element x y z (fractional)
1 K 0.0000 0.0000 0.0000
2 Ir 0.5000 0.5000 0.5000
3 Pt 0.2500 0.2500 0.2500

=====

Computed, not measured: a PBEsol-optimized structure of KIrPt at the SCAN level of DFT.

## Properties
ΔE_f (meV/atom): 748.2
Space group: P-6m2
M_tot (μB per cell): 0.00

Cell lengths 4.8149, 4.8149, 2.6824 Å; angles 90.00, 90.00, 120.00 degrees
Element x y z (fractional)
1 K 0.0000 0.0000 0.0000
2 Ir 0.6667 0.3333 0.5000
3 Pt 0.3333 0.6667 0.5000